Computed, not measured: a relaxed structure of TbP2Pd2 at the GGA-PBE level of DFT.

Calculated values
As for the space-group type: I4/mmm, No. 139. As for the magnetic moment: 0.000 μB/atom. The crystal system is tetragonal.

a = 5.757 Å, b = 5.757 Å, c = 5.757 Å
α = 138.30°, β = 138.30°, γ = 60.45°
Fractional coordinates of all 5 atoms:
Tb  0.000  0.000  0.000
P  0.390  0.390  0.000
P  0.610  0.610  0.000
Pd  0.250  0.750  0.500
Pd  0.750  0.250  0.500


Computed, not measured: a relaxed structure of Li2MgAu at the GGA-PBE level of DFT.

Calculated values
As for the space-group type: I4/mmm, No. 139. The crystal system is tetragonal.

a = 4.959 Å, b = 4.959 Å, c = 4.959 Å
α = 132.35°, β = 132.35°, γ = 69.68°
Fractional coordinates of all 4 atoms:
Li  0.250  0.750  0.500
Li  0.750  0.250  0.500
Mg  0.000  0.000  0.000
Au  0.500  0.500  0.000


Computed, not measured: a relaxed structure of HoScAl4Co2 at the GGA-PBE level of DFT.

Calculated values
As for the space-group type: Amm2, No. 38. As for the magnetic moment: 0.000 μB/atom. The crystal system is orthorhombic.

a = 6.960 Å, b = 5.176 Å, c = 5.176 Å
α = 45.52°, β = 90.00°, γ = 90.00°
Fractional coordinates of all 8 atoms:
Ho  0.000  0.000  0.000
Sc  0.500  0.125  0.125
Al  0.201  0.716  0.716
Al  0.310  0.408  0.408
Al  0.690  0.408  0.408
Al  0.799  0.716  0.716
Co  0.000  0.279  0.279
Co  0.500  0.850  0.850


Computed, not measured: a relaxed structure of PrDy2Al7Cu2 at the GGA-PBE level of DFT.

Calculated values
As for the space-group type: R-3m, No. 166. As for the magnetic moment: 0.001 μB/atom. The crystal system is trigonal.

a = 9.121 Å, b = 9.121 Å, c = 9.121 Å
α = 35.29°, β = 35.29°, γ = 35.29°
Fractional coordinates of all 12 atoms:
Pr  0.000  0.000  0.000
Dy  0.142  0.142  0.142
Dy  0.858  0.858  0.858
Al  0.073  0.583  0.583
Al  0.417  0.417  0.927
Al  0.417  0.927  0.417
Al  0.500  0.500  0.500
Al  0.583  0.073  0.583
Al  0.583  0.583  0.073
Al  0.927  0.417  0.417
Cu  0.335  0.335  0.335
Cu  0.665  0.665  0.665


no.,DFT total energy (eV/atom)
1,-6.10
2,-2.57
3,-5.55
4,-4.47